A plane-wave DFT calculation with PBE-GGA was carried out for an optimized crystal structure of Ni2MoBr.

Output
relative energy among the computed polymorphs	0.379	eV per atom
uncorrected formation energy	711.2	meV per atom
DOS(E_F)	9.99	states/eV per cell
crystal system	orthorhombic

Cell and atoms, written as CIF:
```
data_Ni2MoBr
_chemical_formula_sum 'Ni4 Mo2 Br2'
_symmetry_space_group_name_H-M 'C m m m'
_symmetry_Int_Tables_number 65
_symmetry_space_group_name_Hall '-C 2 2'
_cell_length_a 5.023
_cell_length_b 7.961
_cell_length_c 2.880
_cell_angle_alpha 90.00
_cell_angle_beta 90.00
_cell_angle_gamma 90.00
loop_
_atom_site_label
_atom_site_fract_x
_atom_site_fract_y
_atom_site_fract_z
Ni1 0.250 0.250 0.000
Mo1 0.000 0.000 0.500
Br1 0.000 0.500 0.500
```

---

A plane-wave DFT calculation with PBE-GGA was carried out for an optimized crystal structure of BaPPd3.

Output
relative energy among the computed polymorphs	0.108	eV per atom
DOS(E_F)	4.26	states/eV per cell
crystal system	cubic
ΔH_f (0 K)	-0.6074	eV/atom

Cell and atoms, written as CIF:
```
data_BaPPd3
_chemical_formula_sum 'Ba1 P1 Pd3'
_symmetry_space_group_name_H-M 'P m -3 m'
_symmetry_Int_Tables_number 221
_symmetry_space_group_name_Hall '-P 4 2 3'
_cell_length_a 4.745
_cell_length_b 4.745
_cell_length_c 4.745
_cell_angle_alpha 90.00
_cell_angle_beta 90.00
_cell_angle_gamma 90.00
loop_
_atom_site_label
_atom_site_fract_x
_atom_site_fract_y
_atom_site_fract_z
Ba1 0.000 0.000 0.000
P1 0.500 0.500 0.500
Pd1 0.000 0.500 0.500
```

---

A plane-wave DFT calculation with PBE-GGA was carried out for an optimized crystal structure of KTb4PmSe8.

Output
uncorrected formation energy	-1753.1	meV per atom
DOS(E_F)	0.00	states/eV per cell
crystal system	trigonal

Cell and atoms, written as CIF:
```
data_KTb4PmSe8
_chemical_formula_sum 'K3 Tb12 Pm3 Se24'
_symmetry_space_group_name_H-M 'R 3 m'
_symmetry_Int_Tables_number 160
_symmetry_space_group_name_Hall 'R 3 -2"'
_cell_length_a 8.6114
_cell_length_b 8.6114
_cell_length_c 21.3687
_cell_angle_alpha 90.00
_cell_angle_beta 90.00
_cell_angle_gamma 120.00
loop_
_atom_site_label
_atom_site_fract_x
_atom_site_fract_y
_atom_site_fract_z
K1 0.0000 0.0000 0.0000
Tb1 0.0000 0.0000 0.2529
Tb2 0.1727 0.3455 0.4592
Pm1 0.0000 0.0000 0.6322
Se1 0.0000 0.0000 0.3849
Se2 0.0000 0.0000 0.8613
Se3 0.0373 0.5187 0.3845
Se4 0.1752 0.3505 0.2071
```

---

A plane-wave DFT calculation with PBE-GGA was carried out for an optimized crystal structure of HgGe2Pt2.

Output
relative energy among the computed polymorphs	0.000	eV per atom
DOS(E_F)	1.61	states/eV per cell
crystal system	tetragonal
ΔH_f (0 K)	-0.1866	eV/atom

Cell and atoms, written as CIF:
```
data_HgGe2Pt2
_chemical_formula_sum 'Hg2 Ge4 Pt4'
_symmetry_space_group_name_H-M 'I 4/m m m'
_symmetry_Int_Tables_number 139
_symmetry_space_group_name_Hall '-I 4 2'
_cell_length_a 3.931
_cell_length_b 3.931
_cell_length_c 15.483
_cell_angle_alpha 90.00
_cell_angle_beta 90.00
_cell_angle_gamma 90.00
loop_
_atom_site_label
_atom_site_fract_x
_atom_site_fract_y
_atom_site_fract_z
Hg1 0.000 0.000 0.000
Ge1 0.000 0.000 0.354
Pt1 0.000 0.500 0.250
```